[1]
# PuGe2IrRu

An optimized crystal structure of PuGe2IrRu (PBE-GGA, the Alexandria database).

a = 4.2011 Å, b = 4.2011 Å, c = 10.2978 Å
α = 90.00°, β = 90.00°, γ = 90.00°
Space group I-4m2 (No. 119)
One atom of each set of equivalent atoms:
Pu (0.0000, 0.0000, 0.0000)
Ge (0.0000, 0.0000, 0.3743)
Ir (0.0000, 0.5000, 0.2500)
Ru (0.0000, 0.5000, 0.7500)

Calculated density = 12.472 g cm⁻³
DFT total energy = -8.881 eV/atom
Crystal system = tetragonal

***

[2]
# RbGa3F

An optimized crystal structure of RbGa3F (PBE-GGA, the Alexandria database).

a = 5.1028 Å, b = 5.1028 Å, c = 5.1028 Å
α = 90.00°, β = 90.00°, γ = 90.00°
Space group Pm-3m (No. 221)
One atom of each set of equivalent atoms:
Rb (0.0000, 0.0000, 0.0000)
Ga (0.0000, 0.5000, 0.5000)
F (0.5000, 0.5000, 0.5000)

ΔE_f (raw) = -317 meV per atom
Calculated density = 3.920 g cm⁻³
DFT total energy = -2.701 eV/atom
Crystal system = cubic

***

[3]
# ReSi2Se

An optimized crystal structure of ReSi2Se (PBE-GGA, the Alexandria database).

a = 3.2576 Å, b = 4.6542 Å, c = 7.9953 Å
α = 90.00°, β = 90.00°, γ = 90.00°
Space group Immm (No. 71)
One atom of each set of equivalent atoms:
Re (0.0000, 0.0000, 0.0000)
Si (0.0000, 0.5000, 0.2477)
Se (0.0000, 0.0000, 0.5000)

ΔE_f (raw) = 520 meV per atom
Calculated density = 8.804 g cm⁻³
DFT total energy = -6.175 eV/atom
Crystal system = orthorhombic

***

[4]
# ErTiI

An optimized crystal structure of ErTiI (PBE-GGA, the Alexandria database).

a = 10.9169 Å, b = 3.5913 Å, c = 7.9342 Å
α = 90.00°, β = 93.94°, γ = 90.00°
Space group C2/m (No. 12)
One atom of each set of equivalent atoms:
Er (0.0535, 0.0000, 0.2247)
Ti (0.1326, 0.5000, 0.5277)
I (0.2202, 0.0000, 0.7954)

ΔE_f (raw) = -163 meV per atom
Calculated density = 7.321 g cm⁻³
DFT total energy = -4.832 eV/atom
Crystal system = monoclinic

***

[5]
# CaBeZn2

An optimized crystal structure of CaBeZn2 (PBE-GGA, the Alexandria database).

a = 3.3630 Å, b = 4.0456 Å, c = 5.7394 Å
α = 90.00°, β = 106.91°, γ = 90.00°
Space group Pm (No. 6)
One atom of each set of equivalent atoms:
Ca (0.0000, 0.0000, 0.0000)
Be (0.3631, 0.5000, 0.7258)
Zn (0.2706, 0.0000, 0.5394)
Zn (0.6978, 0.5000, 0.3927)

Calculated density = 3.999 g cm⁻³
DFT total energy = -1.983 eV/atom
Crystal system = monoclinic

***

[6]
# TaTlSb2I

An optimized crystal structure of TaTlSb2I (PBE-GGA, the Alexandria database).

a = 5.3549 Å, b = 5.3549 Å, c = 5.9725 Å
α = 90.00°, β = 90.00°, γ = 90.00°
Space group P4/mmm (No. 123)
One atom of each set of equivalent atoms:
Ta (0.0000, 0.0000, 0.0000)
Tl (0.5000, 0.5000, 0.5000)
Sb (0.0000, 0.5000, 0.0000)
I (0.0000, 0.0000, 0.5000)

ΔE_f (raw) = 217 meV per atom
Calculated density = 7.328 g cm⁻³
DFT total energy = -4.585 eV/atom
Crystal system = tetragonal

***

[7]
# PmEr2Al2

An optimized crystal structure of PmEr2Al2 (PBE-GGA, the Alexandria database).

a = 5.5808 Å, b = 3.7266 Å, c = 13.1874 Å
α = 90.00°, β = 96.59°, γ = 90.00°
Space group P2_1/m (No. 11)
One atom of each set of equivalent atoms:
Pm (0.1807, 0.2500, 0.2336)
Er (0.2401, 0.7500, 0.4638)
Er (0.3484, 0.2500, 0.8900)
Al (0.1459, 0.7500, 0.0380)
Al (0.2940, 0.2500, 0.6579)

Calculated density = 6.503 g cm⁻³
DFT total energy = -4.430 eV/atom
Crystal system = monoclinic

***

[8]
# Cs2RbTbI6

An optimized crystal structure of Cs2RbTbI6 (PBE-GGA, the Alexandria database).

a = 8.7387 Å, b = 13.0588 Å, c = 10.1030 Å
α = 90.00°, β = 90.00°, γ = 90.00°
Space group Pmmn (No. 59, origin choice 2)
One atom of each set of equivalent atoms:
Cs (0.2500, 0.0435, 0.1786)
Rb (0.2500, 0.2500, 0.6938)
Tb (0.2500, 0.7500, 0.7984)
I (0.0048, 0.2500, 0.4045)
I (0.0114, 0.7500, 0.0210)
I (0.2500, 0.5164, 0.7978)

ΔE_f (raw) = -1489 meV per atom
Calculated density = 3.663 g cm⁻³
DFT total energy = -3.149 eV/atom
Crystal system = orthorhombic

***

[9]
# CdIn4Ga3

An optimized crystal structure of CdIn4Ga3 (PBE-GGA, the Alexandria database).

a = 5.9666 Å, b = 5.9666 Å, c = 5.9666 Å
α = 90.00°, β = 90.00°, γ = 90.00°
Space group P-43m (No. 215)
One atom of each set of equivalent atoms:
Cd (0.0000, 0.0000, 0.0000)
In (0.3127, 0.3127, 0.3127)
Ga (0.0000, 0.0000, 0.5000)

Calculated density = 6.104 g cm⁻³
DFT total energy = -2.452 eV/atom
Crystal system = cubic

***

[10]
# GdCd2Pt

An optimized crystal structure of GdCd2Pt (PBE-GGA, the Alexandria database).

a = 4.1680 Å, b = 4.1680 Å, c = 5.0934 Å
α = 90.00°, β = 90.00°, γ = 90.00°
Space group P4/mmm (No. 123)
One atom of each set of equivalent atoms:
Gd (0.0000, 0.0000, 0.0000)
Cd (0.0000, 0.5000, 0.5000)
Pt (0.5000, 0.5000, 0.0000)

Calculated density = 10.831 g cm⁻³
DFT total energy = -5.981 eV/atom
Crystal system = tetragonal

***

[11]
# Y2Zr2Co

An optimized crystal structure of Y2Zr2Co (PBE-GGA, the Alexandria database).

a = 6.6865 Å, b = 6.6865 Å, c = 5.3560 Å
α = 90.00°, β = 90.00°, γ = 90.00°
Space group P4/mbm (No. 127)
One atom of each set of equivalent atoms:
Y (0.1677, 0.3323, 0.0000)
Zr (0.1553, 0.6553, 0.5000)
Co (0.0000, 0.0000, 0.5000)

Calculated density = 5.814 g cm⁻³
DFT total energy = -7.379 eV/atom
Crystal system = tetragonal

***

[12]
# Pr5Ge5Pd2

An optimized crystal structure of Pr5Ge5Pd2 (PBE-GGA, the Alexandria database).

a = 15.6607 Å, b = 4.3979 Å, c = 11.3532 Å
α = 90.00°, β = 130.84°, γ = 90.00°
Space group C2/m (No. 12)
One atom of each set of equivalent atoms:
Pr (0.0000, 0.0000, 0.0000)
Pr (0.1123, 0.0000, 0.4204)
Pr (0.1963, 0.0000, 0.8225)
Ge (0.0000, 0.5000, 0.5000)
Ge (0.0601, 0.5000, 0.8390)
Ge (0.2454, 0.5000, 0.6870)
Pd (0.1421, 0.5000, 0.2539)

Calculated density = 7.190 g cm⁻³
DFT total energy = -5.576 eV/atom
Crystal system = monoclinic